The following is a PBE calculation of a relaxed structure of Zn2PdW, from Alexandria via LeMat-Bulk.

CIF file:
```
data_Zn2PdW
_chemical_formula_sum 'Zn8 Pd4 W4'
_cell_length_a 6.197
_cell_length_b 6.197
_cell_length_c 6.197
_cell_angle_alpha 90.00
_cell_angle_beta 90.00
_cell_angle_gamma 90.00
_symmetry_space_group_name_H-M 'F m -3 m'
_symmetry_Int_Tables_number 225
_symmetry_space_group_name_Hall '-F 4 2 3'
loop_
_atom_site_label
_atom_site_fract_x
_atom_site_fract_y
_atom_site_fract_z
_atom_site_occupancy
Zn1 0.250 0.250 0.250 1
Pd1 0.000 0.000 0.000 1
W1 0.000 0.000 0.500 1
```

- ΔH_f (0 K) (eV/atom) = 0.27
- energy above the most stable polymorph in this dataset (eV/atom) = 0.000



The following is a PBE calculation of a relaxed structure of CsLa2I6, from Alexandria via LeMat-Bulk.

CIF file:
```
data_CsLa2I6
_chemical_formula_sum 'Cs4 La8 I24'
_cell_length_a 19.168
_cell_length_b 11.170
_cell_length_c 7.597
_cell_angle_alpha 90.00
_cell_angle_beta 102.03
_cell_angle_gamma 90.00
_symmetry_space_group_name_H-M 'C 1 2/c 1'
_symmetry_Int_Tables_number 15
loop_
_symmetry_equiv_pos_as_xyz
'x,y,z'
'-x,-y,-z'
'-x,y,-z+1/2'
'x,-y,z+1/2'
'x+1/2,y+1/2,z'
'-x+1/2,-y+1/2,-z'
'-x+1/2,y+1/2,-z+1/2'
'x+1/2,-y+1/2,z+1/2'
loop_
_atom_site_label
_atom_site_fract_x
_atom_site_fract_y
_atom_site_fract_z
_atom_site_occupancy
Cs1 0.000 0.250 0.250 1
La1 0.250 0.001 0.001 1
I1 0.115 0.067 0.680 1
I2 0.115 0.433 0.678 1
I3 0.202 0.250 0.224 1
```



The following is a PBE calculation of a relaxed structure of ZrBeCl2, from Alexandria via LeMat-Bulk.

CIF file:
```
data_ZrBeCl2
_chemical_formula_sum 'Zr2 Be2 Cl4'
_cell_length_a 5.915
_cell_length_b 8.586
_cell_length_c 3.249
_cell_angle_alpha 90.00
_cell_angle_beta 118.00
_cell_angle_gamma 90.00
_symmetry_space_group_name_H-M 'C 1 2/m 1'
_symmetry_Int_Tables_number 12
loop_
_symmetry_equiv_pos_as_xyz
'x,y,z'
'-x,-y,-z'
'-x,y,-z'
'x,-y,z'
'x+1/2,y+1/2,z'
'-x+1/2,-y+1/2,-z'
'-x+1/2,y+1/2,-z'
'x+1/2,-y+1/2,z'
loop_
_atom_site_label
_atom_site_fract_x
_atom_site_fract_y
_atom_site_fract_z
_atom_site_occupancy
Zr1 0.000 0.000 0.000 1
Be1 0.000 0.500 0.000 1
Cl1 0.250 0.250 0.000 1
```

- energy above the most stable polymorph in this dataset (eV/atom) = 0.555



The following is a PBE calculation of a relaxed structure of Sr2MgTlRh, from Alexandria via LeMat-Bulk.

CIF file:
```
data_Sr2MgTlRh
_chemical_formula_sum 'Sr2 Mg1 Tl1 Rh1'
_cell_length_a 5.773
_cell_length_b 5.773
_cell_length_c 5.295
_cell_angle_alpha 90.00
_cell_angle_beta 90.00
_cell_angle_gamma 90.00
_symmetry_space_group_name_H-M 'P 4/m m m'
_symmetry_Int_Tables_number 123
_symmetry_space_group_name_Hall '-P 4 2'
loop_
_atom_site_label
_atom_site_fract_x
_atom_site_fract_y
_atom_site_fract_z
_atom_site_occupancy
Sr1 0.000 0.500 0.000 1
Mg1 0.000 0.000 0.500 1
Tl1 0.500 0.500 0.500 1
Rh1 0.500 0.500 0.000 1
```

- ΔH_f (0 K) (eV/atom) = -0.13
- energy above the most stable polymorph in this dataset (eV/atom) = 0.057



The following is a PBE calculation of a relaxed structure of MgSnHgBi, from Alexandria via LeMat-Bulk.

CIF file:
```
data_MgSnHgBi
_chemical_formula_sum 'Mg4 Sn4 Hg4 Bi4'
_cell_length_a 7.565
_cell_length_b 7.565
_cell_length_c 7.565
_cell_angle_alpha 90.00
_cell_angle_beta 90.00
_cell_angle_gamma 90.00
_symmetry_space_group_name_H-M 'F -4 3 m'
_symmetry_Int_Tables_number 216
_symmetry_space_group_name_Hall 'F -4 2 3'
loop_
_atom_site_label
_atom_site_fract_x
_atom_site_fract_y
_atom_site_fract_z
_atom_site_occupancy
Mg1 0.000 0.000 0.000 1
Sn1 0.000 0.000 0.500 1
Hg1 0.250 0.250 0.250 1
Bi1 0.250 0.250 0.750 1
```

- ΔH_f (0 K) (eV/atom) = -0.01



The following is a PBE calculation of a relaxed structure of NbV3Ru2, from Alexandria via LeMat-Bulk.

CIF file:
```
data_NbV3Ru2
_chemical_formula_sum 'Nb2 V6 Ru4'
_cell_length_a 4.325
_cell_length_b 13.039
_cell_length_c 3.040
_cell_angle_alpha 90.00
_cell_angle_beta 90.00
_cell_angle_gamma 90.00
_symmetry_space_group_name_H-M 'C m m m'
_symmetry_Int_Tables_number 65
_symmetry_space_group_name_Hall '-C 2 2'
loop_
_atom_site_label
_atom_site_fract_x
_atom_site_fract_y
_atom_site_fract_z
_atom_site_occupancy
Nb1 0.000 0.000 0.000 1
V1 0.000 0.169 0.500 1
V2 0.000 0.500 0.500 1
Ru1 0.000 0.331 0.000 1
```

- ΔH_f (0 K) (eV/atom) = -0.25



The following is a PBE calculation of a relaxed structure of Cr2PdRu, from Alexandria via LeMat-Bulk.

CIF file:
```
data_Cr2PdRu
_chemical_formula_sum 'Cr8 Pd4 Ru4'
_cell_length_a 6.658
_cell_length_b 6.658
_cell_length_c 5.252
_cell_angle_alpha 90.00
_cell_angle_beta 90.00
_cell_angle_gamma 90.00
_symmetry_space_group_name_H-M 'I -4 2 d'
_symmetry_Int_Tables_number 122
_symmetry_space_group_name_Hall 'I -4 2bw'
loop_
_atom_site_label
_atom_site_fract_x
_atom_site_fract_y
_atom_site_fract_z
_atom_site_occupancy
Cr1 0.225 0.250 0.125 1
Pd1 0.000 0.000 0.500 1
Ru1 0.000 0.000 0.000 1
```

- ΔH_f (0 K) (eV/atom) = 0.67



The following is a PBE calculation of a relaxed structure of ScTa2Au, from Alexandria via LeMat-Bulk.

CIF file:
```
data_ScTa2Au
_chemical_formula_sum 'Sc1 Ta2 Au1'
_cell_length_a 3.451
_cell_length_b 3.451
_cell_length_c 6.425
_cell_angle_alpha 90.00
_cell_angle_beta 90.00
_cell_angle_gamma 90.00
_symmetry_space_group_name_H-M 'P 4 m m'
_symmetry_Int_Tables_number 99
loop_
_symmetry_equiv_pos_as_xyz
'x,y,z'
'-y,x,z'
'-x,-y,z'
'y,-x,z'
'-x,y,z'
'y,x,z'
'x,-y,z'
'-y,-x,z'
loop_
_atom_site_label
_atom_site_fract_x
_atom_site_fract_y
_atom_site_fract_z
_atom_site_occupancy
Sc1 0.000 0.000 0.000 1
Ta1 0.000 0.000 0.482 1
Ta2 0.500 0.500 0.280 1
Au1 0.500 0.500 0.761 1
```

- ΔH_f (0 K) (eV/atom) = -0.12
- energy above the most stable polymorph in this dataset (eV/atom) = 0.000



The following is a PBE calculation of a relaxed structure of Ga2PdBr, from Alexandria via LeMat-Bulk.

CIF file:
```
data_Ga2PdBr
_chemical_formula_sum 'Ga8 Pd4 Br4'
_cell_length_a 6.067
_cell_length_b 6.067
_cell_length_c 12.625
_cell_angle_alpha 90.00
_cell_angle_beta 90.00
_cell_angle_gamma 90.00
_symmetry_space_group_name_H-M 'I -4 2 d'
_symmetry_Int_Tables_number 122
_symmetry_space_group_name_Hall 'I -4 2bw'
loop_
_atom_site_label
_atom_site_fract_x
_atom_site_fract_y
_atom_site_fract_z
_atom_site_occupancy
Ga1 0.175 0.250 0.125 1
Pd1 0.000 0.000 0.000 1
Br1 0.000 0.000 0.500 1
```

- energy above the most stable polymorph in this dataset (eV/atom) = 0.000



The following is a PBE calculation of a relaxed structure of Co2TeCl, from Alexandria via LeMat-Bulk.

CIF file:
```
data_Co2TeCl
_chemical_formula_sum 'Co2 Te1 Cl1'
_cell_length_a 4.625
_cell_length_b 4.625
_cell_length_c 3.109
_cell_angle_alpha 90.00
_cell_angle_beta 90.00
_cell_angle_gamma 90.00
_symmetry_space_group_name_H-M 'P 4/m m m'
_symmetry_Int_Tables_number 123
_symmetry_space_group_name_Hall '-P 4 2'
loop_
_atom_site_label
_atom_site_fract_x
_atom_site_fract_y
_atom_site_fract_z
_atom_site_occupancy
Co1 0.000 0.500 0.000 1
Te1 0.000 0.000 0.500 1
Cl1 0.500 0.500 0.500 1
```

- energy above the most stable polymorph in this dataset (eV/atom) = 0.597



The following is a PBE calculation of a relaxed structure of La5TmSe6, from Alexandria via LeMat-Bulk.

CIF file:
```
data_La5TmSe6
_chemical_formula_sum 'La10 Tm2 Se12'
_cell_length_a 7.385
_cell_length_b 12.812
_cell_length_c 7.385
_cell_angle_alpha 90.00
_cell_angle_beta 109.65
_cell_angle_gamma 90.00
_symmetry_space_group_name_H-M 'C 1 2/m 1'
_symmetry_Int_Tables_number 12
loop_
_symmetry_equiv_pos_as_xyz
'x,y,z'
'-x,-y,-z'
'-x,y,-z'
'x,-y,z'
'x+1/2,y+1/2,z'
'-x+1/2,-y+1/2,-z'
'-x+1/2,y+1/2,-z'
'x+1/2,-y+1/2,z'
loop_
_atom_site_label
_atom_site_fract_x
_atom_site_fract_y
_atom_site_fract_z
_atom_site_occupancy
La1 0.000 0.000 0.000 1
La2 0.000 0.166 0.500 1
La3 0.000 0.328 0.000 1
Tm1 0.000 0.500 0.500 1
Se1 0.237 0.500 0.255 1
Se2 0.239 0.340 0.739 1
```



The following is a PBE calculation of a relaxed structure of CoIrCl2, from Alexandria via LeMat-Bulk.

CIF file:
```
data_CoIrCl2
_chemical_formula_sum 'Co2 Ir2 Cl4'
_cell_length_a 13.668
_cell_length_b 2.943
_cell_length_c 4.425
_cell_angle_alpha 90.00
_cell_angle_beta 94.29
_cell_angle_gamma 90.00
_symmetry_space_group_name_H-M 'C 1 2/m 1'
_symmetry_Int_Tables_number 12
loop_
_symmetry_equiv_pos_as_xyz
'x,y,z'
'-x,-y,-z'
'-x,y,-z'
'x,-y,z'
'x+1/2,y+1/2,z'
'-x+1/2,-y+1/2,-z'
'-x+1/2,y+1/2,-z'
'x+1/2,-y+1/2,z'
loop_
_atom_site_label
_atom_site_fract_x
_atom_site_fract_y
_atom_site_fract_z
_atom_site_occupancy
Co1 0.000 0.000 0.000 1
Ir1 0.000 0.500 0.500 1
Cl1 0.134 0.500 0.212 1
```

- energy above the most stable polymorph in this dataset (eV/atom) = 0.118



Total DFT energy (no corrections) / eV/atom: -4.90, -3.71, -4.24, -3.06, -2.45, -9.58, -7.76, -8.45, -3.46, -4.27, -6.11, -4.71
Spin magnetization / μB per cell: 7.0, 0.0, 0.0, 0.0, 0.0, 0.0, 0.0, 0.0, 0.0, 3.6, 0.0, 6.2
DOS(E_F) / states/eV per atom: 0.74, 0.28, 0.39, 0.70, 0.37, 0.64, 1.43, 1.09, 0.34, 1.63, 0.54, 1.34